1:
Compound: SiPSCl2
Source: Alexandria via LeMat-Bulk
Functional: GGA-PBE
Structure: optimized geometry

## Properties
volume = 21.00 Å³/atom
symmetry = No. 123

extended XYZ file:
```
5
Lattice="-4.2569 -1.7569 -0.0249 1.7508 -4.2468 0.3288 -0.1595 0.3165 4.9370" Properties=species:S:1:pos:R:3 pbc="T T T"
P -1.3328 -2.8436 2.6204
S -0.0798 0.1582 2.4685
Si 0.0000 0.0000 0.0000
Cl 0.8754 -2.1234 0.1644
Cl -2.1285 -0.8784 -0.0125
```

***

2:
Compound: SiPSCl2
Source: Alexandria via LeMat-Bulk
Functional: GGA-PBE
Structure: optimized geometry

## Properties
volume = 21.30 Å³/atom
symmetry = No. 123

extended XYZ file:
```
5
Lattice="-2.9707 2.9944 -1.9525 -2.2140 -3.5344 -2.0518 -2.9771 -0.4045 3.9093" Properties=species:S:1:pos:R:3 pbc="T T T"
P -1.4885 -0.2022 1.9546
S 0.0000 0.0000 0.0000
Si -4.0809 -0.4722 -0.0475
Cl -1.1070 -1.7672 -1.0259
Cl -1.4854 1.4972 -0.9763
```

***

Result of the stability comparison: 1 is the most stable of them.